No. 1
First-principles (PBE) data for a geometry-optimized LaCd3Au structure, as listed in Alexandria via LeMat-Bulk.

Output
Energy relative to the elements (eV/atom): -0.083
Energy relative to the lowest polymorph listed for this composition (meV/atom): 315.2

CIF file:
```
data_LaCd3Au
_cell_length_a 5.2291
_cell_length_b 5.2291
_cell_length_c 5.2291
_cell_angle_alpha 90.00
_cell_angle_beta 90.00
_cell_angle_gamma 90.00
_space_group_name_H-M_alt 'P m -3 m'
_space_group_IT_number 221
_space_group_name_Hall '-P 4 2 3'
loop_
_atom_site_label
_atom_site_type_symbol
_atom_site_fract_x
_atom_site_fract_y
_atom_site_fract_z
La1 La 0.0000 0.0000 0.0000
Cd1 Cd 0.0000 0.5000 0.5000
Au1 Au 0.5000 0.5000 0.5000
```

No. 2
First-principles (PBE) data for a geometry-optimized CeTcGeH2 structure, as listed in Alexandria via LeMat-Bulk.

Output
Energy (eV/atom): -6.0757

CIF file:
```
data_CeTcGeH2
_cell_length_a 3.9865
_cell_length_b 10.5870
_cell_length_c 6.0396
_cell_angle_alpha 90.00
_cell_angle_beta 90.00
_cell_angle_gamma 90.00
_space_group_name_H-M_alt 'C m c m'
_space_group_IT_number 63
_space_group_name_Hall '-C 2c 2'
loop_
_atom_site_label
_atom_site_type_symbol
_atom_site_fract_x
_atom_site_fract_y
_atom_site_fract_z
Ce1 Ce 0.0000 0.1978 0.2500
Tc1 Tc 0.0000 0.5000 0.0000
Ge1 Ge 0.0000 0.0831 0.7500
H1 H 0.0000 0.3347 0.5604
```

No. 3
First-principles (PBE) data for a geometry-optimized PmEuMgSi structure, as listed in Alexandria via LeMat-Bulk.

Output
ΔE_f (raw) (eV/atom): -0.25

CIF file:
```
data_PmEuMgSi
_cell_length_a 7.4347
_cell_length_b 7.4347
_cell_length_c 7.4347
_cell_angle_alpha 90.00
_cell_angle_beta 90.00
_cell_angle_gamma 90.00
_space_group_name_H-M_alt 'F -4 3 m'
_space_group_IT_number 216
_space_group_name_Hall 'F -4 2 3'
loop_
_atom_site_label
_atom_site_type_symbol
_atom_site_fract_x
_atom_site_fract_y
_atom_site_fract_z
Pm1 Pm 0.0000 0.0000 0.0000
Eu1 Eu 0.0000 0.0000 0.5000
Mg1 Mg 0.2500 0.2500 0.2500
Si1 Si 0.2500 0.2500 0.7500
```

No. 4
First-principles (PBE) data for a geometry-optimized VNi2Te4 structure, as listed in Alexandria via LeMat-Bulk.

Output
ΔE_f (raw) (eV/atom): 0.23

CIF file:
```
data_VNi2Te4
_cell_length_a 5.1828
_cell_length_b 5.1828
_cell_length_c 12.7158
_cell_angle_alpha 90.00
_cell_angle_beta 90.00
_cell_angle_gamma 90.00
_space_group_name_H-M_alt 'I 4/m m m'
_space_group_IT_number 139
_space_group_name_Hall '-I 4 2'
loop_
_atom_site_label
_atom_site_type_symbol
_atom_site_fract_x
_atom_site_fract_y
_atom_site_fract_z
V1 V 0.0000 0.0000 0.0000
Ni1 Ni 0.0000 0.0000 0.4106
Te1 Te 0.0000 0.0000 0.2222
Te2 Te 0.0000 0.5000 0.0000
```

No. 5
First-principles (PBE) data for a geometry-optimized Y2ZrO structure, as listed in Alexandria via LeMat-Bulk.

Output
ΔE_f (raw) (eV/atom): -1.05

CIF file:
```
data_Y2ZrO
_cell_length_a 6.8756
_cell_length_b 6.8756
_cell_length_c 8.6304
_cell_angle_alpha 90.00
_cell_angle_beta 90.00
_cell_angle_gamma 90.00
_space_group_name_H-M_alt 'I -4 2 d'
_space_group_IT_number 122
_space_group_name_Hall 'I -4 2bw'
loop_
_atom_site_label
_atom_site_type_symbol
_atom_site_fract_x
_atom_site_fract_y
_atom_site_fract_z
Y1 Y 0.1160 0.2500 0.1250
Zr1 Zr 0.0000 0.0000 0.5000
O1 O 0.0000 0.0000 0.0000
```

No. 6
First-principles (PBE) data for a geometry-optimized Ba2LaP structure, as listed in Alexandria via LeMat-Bulk.

Output
Energy relative to the elements (eV/atom): -0.549

CIF file:
```
data_Ba2LaP
_cell_length_a 4.0223
_cell_length_b 4.4302
_cell_length_c 19.2074
_cell_angle_alpha 90.00
_cell_angle_beta 90.00
_cell_angle_gamma 90.00
_space_group_name_H-M_alt 'I m m m'
_space_group_IT_number 71
_space_group_name_Hall '-I 2 2'
loop_
_atom_site_label
_atom_site_type_symbol
_atom_site_fract_x
_atom_site_fract_y
_atom_site_fract_z
Ba1 Ba 0.0000 0.0000 0.1581
La1 La 0.0000 0.5000 0.0000
P1 P 0.0000 0.5000 0.5000
```

no.,M_tot (μB per cell)
1,0.000
2,0.000
3,29.027
4,1.920
5,0.000
6,1.009